Tm2Ni2Ge3 after structural relaxation. Source: the Alexandria database, functional PBE.

- DOS(E_F): 7.0 states/eV per cell
- Total magnetic moment: 0.0 μB/f.u.
- Offset from the most stable computed form: 0 meV/atom

```
Tm2Ni2Ge3
1.0
-3.545 0.884 1.857
-0.696 -6.422 1.726
6.105 1.113 6.603
Ni Tm Ge
4 4 6
direct
0.698 0.946 0.396 Ni
0.698 0.554 0.396 Ni
0.302 0.446 0.604 Ni
0.302 0.054 0.604 Ni
0.159 0.250 0.319 Tm
0.841 0.750 0.681 Tm
0.050 0.750 0.100 Tm
0.950 0.250 0.900 Tm
0.432 0.941 0.864 Ge
0.568 0.441 0.136 Ge
0.779 0.250 0.557 Ge
0.221 0.750 0.443 Ge
0.432 0.559 0.864 Ge
0.568 0.059 0.136 Ge
```